In2NiPd | SCAN | PBEsol geometry

Cell and atoms, written as POSCAR:
```
In2NiPd
1.0
4.500 0.000 0.000
2.250 3.897 0.000
2.250 1.299 3.674
Pd Ni In
1 1 2
direct
0.500 0.500 0.500
0.000 0.000 0.000
0.250 0.250 0.250
0.750 0.750 0.750
```

Calculated values
Crystal system: cubic


In3NiPd | SCAN | PBEsol geometry

Cell and atoms, written as POSCAR:
```
In3NiPd
1.0
-3.143 -0.361 -3.871
-3.660 -1.405 3.102
-1.312 4.784 0.619
Ni In Pd
1 3 1
direct
0.500 0.500 0.500
0.500 0.000 0.000
0.000 0.500 0.000
0.000 0.000 0.500
0.000 0.000 0.000
```

Calculated values
Crystal system: cubic


In2Ni2Pd | SCAN | PBEsol geometry

Cell and atoms, written as POSCAR:
```
In2Ni2Pd
1.0
3.319 0.000 0.000
0.000 3.319 0.000
-1.659 -1.659 7.277
Ni Pd In
2 1 2
direct
0.750 0.250 0.500
0.250 0.750 0.500
0.000 0.000 0.000
0.390 0.390 0.781
0.610 0.610 0.219
```

Calculated values
Crystal system: tetragonal


Asked for E_form across the records above, the calculation gives -1.0, 2.4, -0.2 eV/f.u. in order.
Asked for electronic total energy across the records above, the calculation gives -29.178, -29.336, -26.411 eV/atom in order.